1.
The following is a DFT calculation (GGA-PBE) of a relaxed structure of BeNiCl.

Summary:
Excess energy over the best structure of this formula in the dataset (eV/atom): 1.0768
V (A^3/atom): 13.86

a b c (Å): 5.4993 5.4993 5.4993
angles (deg): 90.00 90.00 90.00
Space group F-43m (No. 216)
Unique sites:
Be 0.0000 0.0000 0.0000 x4
Ni 0.2500 0.2500 0.7500 x4
Cl 0.2500 0.2500 0.2500 x4

---

2.
The following is a DFT calculation (GGA-PBE) of a relaxed structure of CsSmVS4.

Summary:
Uncorrected energy (eV per atom): -5.8539
V (A^3/atom): 29.07

a b c (Å): 6.6361 6.7753 9.5174
angles (deg): 90.00 108.02 90.00
Space group P2_1/m (No. 11)
Unique sites:
Cs 0.2346 0.2500 0.4395 x2
Sm 0.2816 0.2500 0.9563 x2
V 0.2672 0.7500 0.1594 x2
S 0.0710 0.7500 0.9296 x2
S 0.0731 0.7500 0.3085 x2
S 0.4988 0.5014 0.1936 x4

---

3.
The following is a DFT calculation (GGA-PBE) of a relaxed structure of ZrRh2W.

Summary:
Excess energy over the best structure of this formula in the dataset (eV/atom): 0.0275
V (A^3/atom): 16.21

a b c (Å): 5.7940 7.6918 2.9106
angles (deg): 90.00 90.00 90.00
Space group Cmmm (No. 65)
Unique sites:
Zr 0.0000 0.0000 0.0000 x2
Rh 0.2500 0.2500 0.5000 x4
W 0.0000 0.5000 0.0000 x2

---

4.
The following is a DFT calculation (GGA-PBE) of a relaxed structure of PmNpO6.

Summary:
Uncorrected energy (eV per atom): -8.1793
V (A^3/atom): 13.32

a b c (Å): 5.8091 6.8791 5.5640
angles (deg): 90.00 106.56 90.00
Space group C2/m (No. 12)
Unique sites:
Pm 0.0000 0.0000 0.0000 x2
Np 0.0000 0.5000 0.5000 x2
O 0.0986 0.0000 0.4530 x4
O 0.1122 0.3180 0.7760 x8